Computed, not measured: a geometry-optimized AcMnBrO2 structure at the PBE with a Hubbard U level of DFT.

DFT total energy	-69.52	eV/cell

Cell lengths 7.7714, 4.3467, 7.9795 Å; angles 90.00, 117.01, 90.00 degrees
Last column: nearest neighbours and their distance in Å.
Space group P2_1/m (No. 11)
Inequivalent atoms, fractional coordinates:
1 Ac 0.1761 0.2500 0.2120 x2  4 O 2.36-2.45
2 Mn 0.0902 0.2500 0.6577 x2  4 O 2.09-2.23
3 Br 0.4672 0.2500 0.7094 x2  1 Mn 2.77
4 O 0.0124 0.7500 0.1318 x2  1 Mn 2.16
5 O 0.0217 0.7500 0.6345 x2  3 Mn 2.09-2.23